# 1
Compound: ScRe2As
Source: the Alexandria database
Functional: meta-GGA SCAN
Structure: single point on PBEsol structure

## Properties
As for the spin magnetization: 0.00 Bohr magnetons per cell. For the energy of formation, the calculation gives 0.45 eV per formula unit. For the density of states at the Fermi level, the calculation gives 3.44 states/eV/cell.

a = 8.6356 Å, b = 8.6356 Å, c = 8.6356 Å
α = 19.81°, β = 19.81°, γ = 19.81°
Closest atoms and distances in Å follow each position.
Atoms (fractional coordinates):
Sc  0.0000  0.0000  0.0000  3 Re 2.78, 3 As 2.88, 6 Sc 2.97
Re  0.2470  0.2470  0.2470  9 Re 2.66-2.97, 3 Sc 2.78
Re  0.5000  0.5000  0.5000  3 As 2.57, 3 Re 2.66
As  0.7580  0.7580  0.7580  3 Re 2.57

---

# 2
Compound: Cd2MoPb
Source: the Alexandria database
Functional: meta-GGA SCAN
Structure: single point on PBEsol structure

## Properties
As for the spin magnetization: 0.00 Bohr magnetons per cell. For the energy of formation, the calculation gives 1.90 eV per formula unit. For the density of states at the Fermi level, the calculation gives 1.92 states/eV/cell.

a = 6.0091 Å, b = 6.0091 Å, c = 6.0091 Å
α = 148.25°, β = 134.90°, γ = 56.20°
Closest atoms and distances in Å follow each position.
Atoms (fractional coordinates):
Cd  0.2281  0.2281  0.0000  4 Cd 2.87, 2 Mo 2.92
Cd  0.7719  0.7719  0.0000  4 Cd 2.87, 2 Mo 2.92
Mo  0.0000  0.5000  0.5000  4 Pb 2.83, 4 Cd 2.92
Pb  0.5000  0.0000  0.5000  4 Mo 2.83

---

# 3
Compound: BaSc2Cl
Source: the Alexandria database
Functional: meta-GGA SCAN
Structure: single point on PBEsol structure

## Properties
As for the spin magnetization: 0.00 Bohr magnetons per cell. For the energy above the most stable polymorph in this dataset, the calculation gives 0.076 eV/atom. The value obtained for the formation energy without anion corrections is -458 meV/atom. For the density of states at the Fermi level, the calculation gives 5.40 states/eV/cell.

a = 6.5951 Å, b = 6.5951 Å, c = 6.5951 Å
α = 150.85°, β = 131.09°, γ = 57.95°
Closest atoms and distances in Å follow each position.
Atoms (fractional coordinates):
Ba  0.0000  0.0000  0.0000  4 Cl 3.20, 2 Ba 3.32
Sc  0.2912  0.7912  0.5000  2 Cl 2.93
Sc  0.7088  0.2088  0.5000  2 Cl 2.93
Cl  0.5000  0.5000  0.0000  4 Sc 2.93, 4 Ba 3.20

---

# 4
Compound: PCl5
Source: the Alexandria database
Functional: meta-GGA SCAN
Structure: single point on PBEsol structure

## Properties
As for the spin magnetization: 0.00 Bohr magnetons per cell. The value obtained for the formation energy without anion corrections is -673 meV/atom. For the density of states at the Fermi level, the calculation gives 0.00 states/eV/cell.

a = 9.2986 Å, b = 9.2986 Å, c = 7.4338 Å
α = 90.00°, β = 90.00°, γ = 90.00°
Closest atoms and distances in Å follow each position.
Atoms (fractional coordinates):
P  0.2500  0.2500  0.1043  6 Cl 2.13-2.21
P  0.2500  0.7500  0.5000  4 Cl 1.95
P  0.7500  0.2500  0.5000  4 Cl 1.95
P  0.7500  0.7500  0.8957  6 Cl 2.13-2.21
Cl  0.0334  0.3287  0.0988  1 P 2.14
Cl  0.0817  0.7154  0.3489  1 P 1.95
Cl  0.1713  0.0334  0.0988  1 P 2.14
Cl  0.2154  0.9183  0.6511  1 P 1.95
Cl  0.2500  0.2500  0.3907  1 P 2.13
Cl  0.2500  0.2500  0.8076  1 P 2.21
Cl  0.2846  0.5817  0.6511  1 P 1.95
Cl  0.3287  0.4666  0.0988  1 P 2.14
Cl  0.4183  0.7846  0.3489  1 P 1.95
Cl  0.4666  0.1713  0.0988  1 P 2.14
Cl  0.5334  0.8287  0.9012  1 P 2.14
Cl  0.5817  0.2154  0.6511  1 P 1.95
Cl  0.6713  0.5334  0.9012  1 P 2.14
Cl  0.7154  0.4183  0.3489  1 P 1.95
Cl  0.7500  0.7500  0.1924  1 P 2.21
Cl  0.7500  0.7500  0.6093  1 P 2.13
Cl  0.7846  0.0817  0.3489  1 P 1.95
Cl  0.8287  0.9666  0.9012  1 P 2.14
Cl  0.9183  0.2846  0.6511  1 P 1.95
Cl  0.9666  0.6713  0.9012  1 P 2.14

---

# 5
Compound: MnZnIn2Pd
Source: the Alexandria database
Functional: meta-GGA SCAN
Structure: single point on PBEsol structure

## Properties
As for the spin magnetization: 4.80 Bohr magnetons per cell. For the energy of formation, the calculation gives 1.05 eV per formula unit. For the density of states at the Fermi level, the calculation gives 2.55 states/eV/cell.

a = 5.0089 Å, b = 5.0089 Å, c = 4.7125 Å
α = 90.00°, β = 90.00°, γ = 90.00°
Closest atoms and distances in Å follow each position.
Atoms (fractional coordinates):
Mn  0.0000  0.0000  0.0000  8 In 3.44, 4 Zn 3.54
Zn  0.5000  0.5000  0.0000  2 Pd 2.36
In  0.0000  0.5000  0.5000  2 Pd 2.50
In  0.5000  0.0000  0.5000  2 Pd 2.50
Pd  0.5000  0.5000  0.5000  2 Zn 2.36, 4 In 2.50

---

# 6
Compound: SrMn2Mo
Source: the Alexandria database
Functional: meta-GGA SCAN
Structure: single point on PBEsol structure

## Properties
As for the spin magnetization: 5.18 Bohr magnetons per cell. For the energy of formation, the calculation gives 1.42 eV per formula unit. For the density of states at the Fermi level, the calculation gives 2.85 states/eV/cell.

a = 3.1168 Å, b = 3.1168 Å, c = 7.4484 Å
α = 90.00°, β = 90.00°, γ = 90.00°
Closest atoms and distances in Å follow each position.
Atoms (fractional coordinates):
Sr  0.0000  0.0000  0.0000  4 Sr 3.12, 8 Mn 3.29
Mn  0.5000  0.5000  0.3282  4 Mo 2.55, 1 Mn 2.56
Mn  0.5000  0.5000  0.6718  4 Mo 2.55, 1 Mn 2.56
Mo  0.0000  0.0000  0.5000  8 Mn 2.55

---

Number 1: calculated total energy -44.04 eV/atom. Number 2: calculated total energy -42.40 eV/atom. Number 3: calculated total energy -19.46 eV/atom. Number 4: calculated total energy -9.05 eV/atom. Number 5: calculated total energy -26.05 eV/atom. Number 6: calculated total energy -23.06 eV/atom.